Compound: Pm6Dy2Cd
Source: Alexandria via LeMat-Bulk
Functional: PBE
Structure: optimized geometry

The calculation puts the formation enthalpy at 0 K at 0.0771 eV/atom. For the distance to the lowest polymorph of the same formula, the calculation gives 28 meV per atom. As for the crystal system: monoclinic. Its density of states at the Fermi level is 43.55 states/eV/cell.

The space group is C2/c (No. 15) and the conventional cell measures 14.4977, 9.0331 and 8.9398 Å, with angles of 90.00, 93.02 and 90.00 degrees. Symmetry generates all atoms from Pm at (0.0898, 0.1901, 0.1272), Pm at (0.0994, 0.4370, 0.8577), Pm at (0.1408, 0.2494, 0.5140), Dy at (0.2201, 0.0790, 0.8398) and Cd at (0.0000, 0.1134, 0.7500).

---

Compound: Pm12Dy3Cd
Source: Alexandria via LeMat-Bulk
Functional: PBE
Structure: optimized geometry

The calculation puts the formation enthalpy at 0 K at -0.0094 eV/atom. As for the crystal system: tetragonal. Its density of states at the Fermi level is 23.14 states/eV/cell.

The space group is P4/mmm (No. 123) and the conventional cell measures 5.0679, 5.0679 and 20.4823 Å, with angles of 90.00, 90.00 and 90.00 degrees. Symmetry generates all atoms from Pm at (0.0000, 0.0000, 0.0000), Pm at (0.0000, 0.0000, 0.2457), Pm at (0.0000, 0.0000, 0.5000), Pm at (0.0000, 0.5000, 0.1216), Pm at (0.0000, 0.5000, 0.3738), Dy at (0.5000, 0.5000, 0.2475), Dy at (0.5000, 0.5000, 0.5000) and Cd at (0.5000, 0.5000, 0.0000).

---

Compound: PmDyCd4
Source: Alexandria via LeMat-Bulk
Functional: PBE
Structure: optimized geometry

The calculation puts the formation enthalpy at 0 K at -0.3294 eV/atom. For the distance to the lowest polymorph of the same formula, the calculation gives 0 meV per atom. As for the crystal system: monoclinic. Its density of states at the Fermi level is 4.40 states/eV/cell.

The space group is P2/m (No. 10) and the conventional cell measures 3.4480, 5.0231 and 8.6856 Å, with angles of 90.00, 90.13 and 90.00 degrees. Symmetry generates all atoms from Pm at (0.0000, 0.0000, 0.0000), Dy at (0.0000, 0.5000, 0.5000), Cd at (0.4992, 0.0000, 0.3360) and Cd at (0.4993, 0.5000, 0.8300).

---

Compound: Pm2Dy3Cd4
Source: Alexandria via LeMat-Bulk
Functional: PBE
Structure: optimized geometry

The calculation puts the formation enthalpy at 0 K at -0.1625 eV/atom. As for the crystal system: orthorhombic. Its density of states at the Fermi level is 33.75 states/eV/cell.

The space group is Cmce (No. 64) and the conventional cell measures 6.8080, 18.5780 and 8.2084 Å, with angles of 90.00, 90.00 and 90.00 degrees. Symmetry generates all atoms from Pm at (0.0000, 0.0923, 0.1000), Dy at (0.0000, 0.0000, 0.5000), Dy at (0.2500, 0.2461, 0.7500), Cd at (0.0000, 0.1620, 0.4854) and Cd at (0.2500, 0.0752, 0.7500).